Density functional theory data (PBE-GGA) for a relaxed structure of TiCuP2.

The structure in POSCAR format:
```
TiCuP2
1.0
1.7930 1.0352 5.5439
-1.7930 1.0352 5.5439
0.0000 -2.0704 5.5439
Ti Cu P
1 1 2
direct
0.0000 0.0000 0.0000
0.5000 0.5000 0.5000
0.2485 0.2485 0.2485
0.7515 0.7515 0.7515
```

## Properties
- energy relative to the elements (eV per atom) = -0.286
- size of the total moment (μB/f.u.) = 0.000
- space group = R-3m
- V (Å³ per atom) = 15.44
- final energy (eV per atom) = -5.99


Density functional theory data (PBE-GGA) for a relaxed structure of Mg2CdBiMo.

The structure in POSCAR format:
```
Mg2CdBiMo
1.0
5.1150 0.0000 0.0000
0.0000 5.1150 0.0000
0.0000 0.0000 5.7233
Mg Cd Bi Mo
2 1 1 1
direct
0.0000 0.5000 0.0000
0.5000 0.0000 0.0000
0.0000 0.0000 0.0000
0.0000 0.0000 0.5000
0.5000 0.5000 0.5000
```

## Properties
- energy relative to the elements (eV per atom) = 1.115
- size of the total moment (μB/f.u.) = 4.412
- space group = P4/mmm
- V (Å³ per atom) = 29.95
- final energy (eV per atom) = -2.65


Density functional theory data (PBE-GGA) for a relaxed structure of TbDyTlIr.

The structure in POSCAR format:
```
TbDyTlIr
1.0
0.0000 3.6122 3.6122
3.6122 0.0000 3.6122
3.6122 3.6122 0.0000
Tb Dy Tl Ir
1 1 1 1
direct
0.0000 0.0000 0.0000
0.5000 0.5000 0.5000
0.2500 0.2500 0.2500
0.7500 0.7500 0.7500
```

## Properties
- energy relative to the elements (eV per atom) = -0.479
- E above lowest polymorph (meV/atom) = 126
- size of the total moment (μB/f.u.) = 0.000
- space group = F-43m
- V (Å³ per atom) = 23.57
- final energy (eV per atom) = -5.59


Density functional theory data (PBE-GGA) for a relaxed structure of ThAl4.

The structure in POSCAR format:
```
ThAl4
1.0
-2.2733 3.2682 6.8994
2.2733 -3.2682 6.8994
2.2733 3.2682 -6.8994
Th Al
2 8
direct
0.3662 0.1162 0.2500
0.6338 0.8838 0.7500
0.0000 0.5000 0.5000
0.1356 0.8856 0.2500
0.1527 0.6984 0.4543
0.2559 0.3016 0.9543
0.5000 0.5000 0.0000
0.7441 0.6984 0.0457
0.8473 0.3016 0.5457
0.8644 0.1144 0.7500
```

## Properties
- energy relative to the elements (eV per atom) = -0.301
- size of the total moment (μB/f.u.) = 0.000
- space group = Imma
- V (Å³ per atom) = 20.50
- final energy (eV per atom) = -4.78


Density functional theory data (PBE-GGA) for a relaxed structure of MnHgTeI2.

The structure in POSCAR format:
```
MnHgTeI2
1.0
5.8494 0.0000 0.0000
0.0000 5.8494 0.0000
0.0000 0.0000 5.7376
Mn Hg Te I
1 1 1 2
direct
0.0000 0.0000 0.0000
0.5000 0.5000 0.5000
0.5000 0.5000 0.0000
0.0000 0.5000 0.5000
0.5000 0.0000 0.5000
```

## Properties
- E above lowest polymorph (meV/atom) = 282
- size of the total moment (μB/f.u.) = 5.380
- space group = P4/mmm
- energy relative to the elements, uncorrected (eV per atom) = 0.61
- V (Å³ per atom) = 39.26
- final energy (eV per atom) = -2.54


Density functional theory data (PBE-GGA) for a relaxed structure of Y2Cd.

The structure in POSCAR format:
```
Y2Cd
1.0
6.2422 0.0000 0.0000
-3.1211 5.4059 0.0000
0.0000 0.0000 10.6495
Y Cd
8 4
direct
0.0000 0.0000 0.0000
0.0000 0.0000 0.5000
0.1694 0.3387 0.2500
0.1694 0.8306 0.2500
0.3387 0.1694 0.7500
0.6613 0.8306 0.2500
0.8306 0.1694 0.7500
0.8306 0.6613 0.7500
0.3333 0.6667 0.5732
0.3333 0.6667 0.9268
0.6667 0.3333 0.0732
0.6667 0.3333 0.4268
```

## Properties
- energy relative to the elements (eV per atom) = 0.293
- size of the total moment (μB/f.u.) = 0.000
- space group = P6_3/mmc
- V (Å³ per atom) = 29.95
- final energy (eV per atom) = -4.32


Density functional theory data (PBE-GGA) for a relaxed structure of TcPBrCl2.

The structure in POSCAR format:
```
TcPBrCl2
1.0
5.0024 0.0000 0.0000
0.0000 5.0024 0.0000
0.0000 0.0000 5.2658
Tc P Br Cl
1 1 1 2
direct
0.0000 0.0000 0.0000
0.5000 0.5000 0.0000
0.5000 0.5000 0.5000
0.0000 0.5000 0.5000
0.5000 0.0000 0.5000
```

## Properties
- E above lowest polymorph (meV/atom) = 1201
- size of the total moment (μB/f.u.) = 4.672
- space group = P4/mmm
- energy relative to the elements, uncorrected (eV per atom) = 1.34
- V (Å³ per atom) = 26.35
- final energy (eV per atom) = -2.89


Density functional theory data (PBE-GGA) for a relaxed structure of Pr3In4Ni2.

The structure in POSCAR format:
```
Pr3In4Ni2
1.0
5.7534 -2.2987 0.0000
5.7534 2.2987 0.0000
-3.6624 0.0000 8.4492
Pr In Ni
3 4 2
direct
0.0000 0.0000 0.0000
0.3153 0.3153 0.3698
0.6847 0.6847 0.6302
0.0213 0.0213 0.3520
0.2627 0.2627 0.9092
0.7373 0.7373 0.0908
0.9787 0.9787 0.6480
0.3970 0.3970 0.7287
0.6030 0.6030 0.2713
```

## Properties
- energy relative to the elements (eV per atom) = -0.406
- size of the total moment (μB/f.u.) = 0.000
- space group = C2/m
- V (Å³ per atom) = 24.83
- final energy (eV per atom) = -4.50


Density functional theory data (PBE-GGA) for a relaxed structure of Cs8KNa2.

The structure in POSCAR format:
```
Cs8KNa2
1.0
6.6918 -9.9903 0.0000
6.6918 9.9903 0.0000
-2.2404 0.0000 8.0369
Cs K Na
8 1 2
direct
0.0692 0.3245 0.5912
0.2433 0.7567 0.0000
0.3245 0.0692 0.5912
0.3817 0.3817 0.1887
0.6183 0.6183 0.8113
0.6755 0.9308 0.4088
0.7567 0.2433 0.0000
0.9308 0.6755 0.4088
0.0000 0.0000 0.0000
0.3176 0.6824 0.5000
0.6824 0.3176 0.5000
```

## Properties
- energy relative to the elements (eV per atom) = 0.024
- size of the total moment (μB/f.u.) = 0.000
- space group = C2/m
- V (Å³ per atom) = 97.69
- final energy (eV per atom) = -0.94


Density functional theory data (PBE-GGA) for a relaxed structure of Na2AsPH8O10.

The structure in POSCAR format:
```
Na2AsPH8O10
1.0
5.2394 0.0000 0.0000
0.0000 10.4695 0.0000
-0.0278 0.0000 8.3510
Na As P H O
4 2 2 16 20
direct
0.1799 0.0000 0.4084
0.3120 0.6740 0.9140
0.6880 0.1740 0.0860
0.8201 0.5000 0.5916
0.3308 0.2502 0.6950
0.6692 0.7502 0.3050
0.1552 0.4301 0.1964
0.8448 0.9301 0.8036
0.0583 0.6801 0.2337
0.1016 0.7426 0.6263
0.2004 0.0347 0.0451
0.2212 0.2990 0.9961
0.2731 0.3908 0.4868
0.2973 0.6443 0.5554
0.3994 0.9383 0.1158
0.4753 0.9987 0.7253
0.5247 0.4987 0.2747
0.6006 0.4383 0.8842
0.7027 0.1443 0.4446
0.7269 0.8908 0.5132
0.7788 0.7990 0.0039
0.7996 0.5347 0.9549
0.8984 0.2426 0.3737
0.9417 0.1801 0.7663
0.0058 0.7578 0.2999
0.0454 0.4047 0.3632
0.0674 0.5549 0.1180
0.0871 0.3116 0.0859
0.1690 0.6549 0.6406
0.3269 0.0248 0.1321
0.4051 0.3840 0.5778
0.4339 0.1153 0.6038
0.4459 0.2802 0.8815
0.4595 0.4251 0.2049
0.5405 0.9251 0.7951
0.5541 0.7802 0.1185
0.5661 0.6153 0.3962
0.5949 0.8840 0.4222
0.6731 0.5248 0.8679
0.8310 0.1549 0.3594
0.9129 0.8116 0.9141
0.9326 0.0549 0.8820
0.9546 0.9047 0.6368
0.9942 0.2578 0.7001
```

## Properties
- size of the total moment (μB/f.u.) = 0.087
- space group = P2_1
- V (Å³ per atom) = 10.41
- final energy (eV per atom) = -5.47


Density functional theory data (PBE-GGA) for a relaxed structure of LiPr2AlO5.

The structure in POSCAR format:
```
LiPr2AlO5
1.0
1.7048 -6.8462 0.0000
1.7048 6.8462 0.0000
0.0000 0.0000 9.2824
Li Pr Al O
2 4 2 10
direct
0.2230 0.7770 0.5000
0.7770 0.2230 0.0000
0.1189 0.8811 0.8022
0.1293 0.8707 0.1819
0.8707 0.1293 0.6819
0.8811 0.1189 0.3022
0.4154 0.5846 0.9750
0.5846 0.4154 0.4750
0.0461 0.9539 0.5264
0.3042 0.6958 0.8549
0.3172 0.6828 0.1379
0.3581 0.6419 0.5008
0.4860 0.5140 0.7931
0.5140 0.4860 0.2931
0.6419 0.3581 0.0008
0.6828 0.3172 0.6379
0.6958 0.3042 0.3549
0.9539 0.0461 0.0264
```

## Properties
- size of the total moment (μB/f.u.) = 0.000
- space group = Cmc2_1
- energy relative to the elements, uncorrected (eV per atom) = -2.96
- V (Å³ per atom) = 12.04
- final energy (eV per atom) = -7.41